Compound: Tl3Te12P5
Source: Alexandria via LeMat-Bulk
Functional: GGA-PBE
Structure: optimized geometry

Cell lengths 15.0232, 15.0232, 15.0232 Å; angles 109.47, 109.47, 109.47 degrees
Fractional coordinates of all 80 atoms:
Tl 0.7500 0.3750 0.1250
Tl 0.8750 0.7500 0.1250
Tl 0.3750 0.7500 0.6250
Tl 0.2500 0.1250 0.3750
Tl 0.8750 0.1250 0.2500
Tl 0.3750 0.6250 0.2500
Tl 0.6250 0.3750 0.7500
Tl 0.1250 0.8750 0.7500
Tl 0.7500 0.8750 0.6250
Tl 0.6250 0.2500 0.3750
Tl 0.1250 0.2500 0.8750
Tl 0.2500 0.6250 0.8750
P 0.1250 0.3750 0.2500
P 0.0000 0.5000 0.0000
P 0.0000 0.0000 0.0000
P 0.3750 0.2500 0.1250
P 0.5000 0.0000 0.5000
P 0.5000 0.5000 0.0000
P 0.1250 0.7500 0.3750
P 0.7500 0.1250 0.8750
P 0.7500 0.6250 0.3750
P 0.3750 0.1250 0.7500
P 0.6250 0.8750 0.2500
P 0.5000 0.5000 0.5000
P 0.5000 0.0000 0.0000
P 0.0000 0.0000 0.5000
P 0.2500 0.3750 0.6250
P 0.2500 0.8750 0.1250
P 0.0000 0.5000 0.5000
P 0.8750 0.2500 0.6250
P 0.6250 0.7500 0.8750
P 0.8750 0.6250 0.7500
Te 0.7015 0.1114 0.0202
Te 0.3187 0.5202 0.4088
Te 0.9798 0.3886 0.2985
Te 0.5202 0.2015 0.1114
Te 0.5902 0.7015 0.6813
Te 0.9798 0.5912 0.1813
Te 0.3187 0.7985 0.4098
Te 0.0912 0.9098 0.1114
Te 0.5912 0.9798 0.6813
Te 0.7015 0.5902 0.1813
Te 0.7985 0.4798 0.3886
Te 0.8187 0.9088 0.0202
Te 0.1114 0.7015 0.5202
Te 0.3886 0.4088 0.0902
Te 0.0902 0.9088 0.3886
Te 0.4098 0.1114 0.5912
Te 0.0902 0.1813 0.2015
Te 0.4798 0.6813 0.0912
Te 0.8187 0.9098 0.2985
Te 0.1114 0.4098 0.0912
Te 0.3886 0.9798 0.7985
Te 0.5912 0.6114 0.4098
Te 0.9088 0.8187 0.5202
Te 0.7985 0.3187 0.9098
Te 0.4088 0.3886 0.5902
Te 0.0912 0.1813 0.4798
Te 0.2015 0.6813 0.0902
Te 0.1813 0.0902 0.7015
Te 0.6114 0.0202 0.2015
Te 0.8886 0.5902 0.9088
Te 0.5202 0.3187 0.9088
Te 0.5902 0.8886 0.4088
Te 0.9098 0.8187 0.7985
Te 0.9098 0.0912 0.6114
Te 0.8886 0.2985 0.4798
Te 0.1813 0.0912 0.9798
Te 0.6114 0.5912 0.9098
Te 0.4088 0.0202 0.3187
Te 0.2985 0.4098 0.8187
Te 0.2015 0.5202 0.6114
Te 0.9088 0.0902 0.8886
Te 0.6813 0.2015 0.5902
Te 0.4798 0.7985 0.8886
Te 0.0202 0.4088 0.8187
Te 0.4098 0.2985 0.3187
Te 0.0202 0.6114 0.7015
Te 0.6813 0.4798 0.5912
Te 0.2985 0.8886 0.9798

Uncorrected energy in eV per atom: -3.41
Raw formation energy in eV per atom: 0.18
Volume in Å³/f.u.: 652.5
DOS(E_F) in states/eV/cell: 59.459
Size of the total moment in μB/atom: 0.000